[1]
! RbNa16Cd12 | Alexandria | PBE-GGA | relaxed; values from VASP
&SYSTEM
  ibrav = 0, nat = 29, ntyp = 3
/
ATOMIC_SPECIES
Rb 85.47 Rb.upf
Na 22.99 Na.upf
Cd 112.41 Cd.upf
ATOMIC_POSITIONS crystal
Rb 0.000 0.000 0.000
Na 0.170 0.585 0.584
Na 0.191 0.893 0.284
Na 0.266 0.266 0.542
Na 0.278 0.278 0.954
Na 0.278 0.860 0.955
Na 0.290 0.994 0.678
Na 0.574 0.902 0.853
Na 0.576 0.925 0.260
Na 0.580 0.580 0.627
Na 0.585 0.170 0.584
Na 0.586 0.586 0.279
Na 0.860 0.278 0.955
Na 0.893 0.191 0.284
Na 0.902 0.574 0.853
Na 0.925 0.576 0.260
Na 0.994 0.290 0.678
Cd 0.224 0.587 0.088
Cd 0.232 0.415 0.285
Cd 0.394 0.582 0.896
Cd 0.408 0.767 0.459
Cd 0.415 0.232 0.285
Cd 0.582 0.394 0.896
Cd 0.587 0.224 0.088
Cd 0.743 0.743 0.088
Cd 0.750 0.935 0.609
Cd 0.767 0.408 0.459
Cd 0.935 0.750 0.609
Cd 0.940 0.940 0.429
CELL_PARAMETERS angstrom
5.916 -8.331 0.000
5.916 8.331 0.000
-5.444 0.000 8.501
! Energy relative to the elements (eV/atom): -0.06
! Total moment (μB/atom): 0.00
! ρ (g/cm³): 3.6
! DOS at the Fermi energy (states/eV/f.u.): 15.5
! Total DFT energy (no corrections) (eV per cell): -34.9

---

[2]
! Nd2BiN | Alexandria | PBE-GGA | relaxed; values from VASP
&SYSTEM
  ibrav = 0, nat = 16, ntyp = 3
/
ATOMIC_SPECIES
Nd 144.24 Nd.upf
Bi 208.98 Bi.upf
N 14.01 N.upf
ATOMIC_POSITIONS crystal
Nd 0.102 0.250 0.230
Nd 0.174 0.250 0.961
Nd 0.326 0.750 0.461
Nd 0.398 0.750 0.730
Nd 0.602 0.250 0.270
Nd 0.674 0.250 0.539
Nd 0.826 0.750 0.039
Nd 0.898 0.750 0.770
Bi 0.110 0.250 0.635
Bi 0.390 0.750 0.135
Bi 0.610 0.250 0.865
Bi 0.890 0.750 0.365
N 0.047 0.750 0.913
N 0.453 0.250 0.413
N 0.547 0.750 0.587
N 0.953 0.250 0.087
CELL_PARAMETERS angstrom
7.636 0.000 0.000
0.000 4.287 0.000
0.000 0.000 13.438
! Polymorph energy (0 for the lowest one) (eV per atom): 0.047
! Total moment (μB/atom): 0.00
! Raw formation energy (kcal/mol of atoms): -25.7
! ρ (g/cm³): 7.7
! DOS at the Fermi energy (states/eV/f.u.): 0.5
! Total DFT energy (no corrections) (eV per cell): -104.8

---

[3]
! CaLaAg2 | Alexandria | PBE-GGA | relaxed; values from VASP
&SYSTEM
  ibrav = 0, nat = 12, ntyp = 3
/
ATOMIC_SPECIES
Ca 40.08 Ca.upf
La 138.91 La.upf
Ag 107.87 Ag.upf
ATOMIC_POSITIONS crystal
Ca 0.000 0.000 0.000
Ca 0.333 0.667 0.667
Ca 0.667 0.333 0.333
La 0.000 0.000 0.500
La 0.333 0.667 0.167
La 0.667 0.333 0.833
Ag 0.000 0.000 0.252
Ag 0.000 0.000 0.748
Ag 0.333 0.667 0.414
Ag 0.333 0.667 0.919
Ag 0.667 0.333 0.081
Ag 0.667 0.333 0.586
CELL_PARAMETERS angstrom
4.402 0.000 0.000
-2.201 3.812 0.000
0.000 0.000 21.872
! Polymorph energy (0 for the lowest one) (eV per atom): 0.180
! Energy relative to the elements (eV/atom): -0.13
! Total moment (μB/atom): 0.00
! ρ (g/cm³): 5.4
! DOS at the Fermi energy (states/eV/f.u.): 3.1
! Total DFT energy (no corrections) (eV per cell): -39.5

---

[4]
! ThMgNiAu | Alexandria | PBE-GGA | relaxed; values from VASP
&SYSTEM
  ibrav = 0, nat = 16, ntyp = 4
/
ATOMIC_SPECIES
Th 232.04 Th.upf
Mg 24.30 Mg.upf
Ni 58.69 Ni.upf
Au 196.97 Au.upf
ATOMIC_POSITIONS crystal
Th 0.000 0.000 0.000
Th 0.000 0.500 0.500
Th 0.500 0.000 0.500
Th 0.500 0.500 0.000
Mg 0.000 0.000 0.500
Mg 0.000 0.500 0.000
Mg 0.500 0.000 0.000
Mg 0.500 0.500 0.500
Ni 0.250 0.250 0.750
Ni 0.250 0.750 0.250
Ni 0.750 0.250 0.250
Ni 0.750 0.750 0.750
Au 0.250 0.250 0.250
Au 0.250 0.750 0.750
Au 0.750 0.250 0.750
Au 0.750 0.750 0.250
CELL_PARAMETERS angstrom
6.934 0.000 0.000
0.000 6.934 0.000
0.000 0.000 6.934
! Energy relative to the elements (eV/atom): -0.42
! Total moment (μB/atom): 0.00
! ρ (g/cm³): 10.2
! DOS at the Fermi energy (states/eV/f.u.): 2.2
! Total DFT energy (no corrections) (eV per cell): -79.1

---

[5]
! AcGe2Pd | Alexandria | PBE-GGA | relaxed; values from VASP
&SYSTEM
  ibrav = 0, nat = 4, ntyp = 3
/
ATOMIC_SPECIES
Ac 227.00 Ac.upf
Ge 72.64 Ge.upf
Pd 106.42 Pd.upf
ATOMIC_POSITIONS crystal
Ac 0.000 0.000 0.000
Ge 0.000 0.500 0.500
Ge 0.500 0.000 0.500
Pd 0.500 0.500 0.000
CELL_PARAMETERS angstrom
4.405 0.000 0.000
0.000 4.405 0.000
0.000 0.000 4.746
! Polymorph energy (0 for the lowest one) (eV per atom): 0.384
! Energy relative to the elements (eV/atom): -0.36
! Total moment (μB/atom): 0.00
! ρ (g/cm³): 8.6
! DOS at the Fermi energy (states/eV/f.u.): 3.0
! Total DFT energy (no corrections) (eV per cell): -20.0

---

[6]
! Tm3Co5N12 | Alexandria | PBE-GGA | relaxed; values from VASP
&SYSTEM
  ibrav = 0, nat = 80, ntyp = 3
/
ATOMIC_SPECIES
Tm 168.93 Tm.upf
Co 58.93 Co.upf
N 14.01 N.upf
ATOMIC_POSITIONS crystal
Tm 0.125 0.250 0.375
Tm 0.125 0.375 0.750
Tm 0.250 0.375 0.125
Tm 0.250 0.875 0.625
Tm 0.375 0.125 0.250
Tm 0.375 0.750 0.125
Tm 0.625 0.250 0.875
Tm 0.625 0.875 0.750
Tm 0.750 0.125 0.375
Tm 0.750 0.625 0.875
Tm 0.875 0.625 0.250
Tm 0.875 0.750 0.625
Co 0.000 0.000 0.000
Co 0.000 0.000 0.500
Co 0.000 0.500 0.000
Co 0.000 0.500 0.500
Co 0.125 0.750 0.875
Co 0.125 0.875 0.250
Co 0.250 0.125 0.875
Co 0.250 0.625 0.375
Co 0.375 0.250 0.625
Co 0.375 0.625 0.750
Co 0.500 0.000 0.000
Co 0.500 0.000 0.500
Co 0.500 0.500 0.000
Co 0.500 0.500 0.500
Co 0.625 0.375 0.250
Co 0.625 0.750 0.375
Co 0.750 0.375 0.625
Co 0.750 0.875 0.125
Co 0.875 0.125 0.750
Co 0.875 0.250 0.125
N 0.018 0.202 0.112
N 0.018 0.316 0.906
N 0.090 0.702 0.684
N 0.090 0.888 0.406
N 0.094 0.612 0.410
N 0.094 0.982 0.684
N 0.112 0.018 0.202
N 0.112 0.594 0.910
N 0.184 0.202 0.590
N 0.184 0.482 0.594
N 0.202 0.112 0.018
N 0.202 0.590 0.184
N 0.298 0.316 0.910
N 0.298 0.482 0.388
N 0.316 0.906 0.018
N 0.316 0.910 0.298
N 0.388 0.298 0.482
N 0.388 0.590 0.906
N 0.406 0.090 0.888
N 0.406 0.816 0.518
N 0.410 0.094 0.612
N 0.410 0.816 0.798
N 0.482 0.388 0.298
N 0.482 0.594 0.184
N 0.518 0.406 0.816
N 0.518 0.612 0.702
N 0.590 0.184 0.202
N 0.590 0.906 0.388
N 0.594 0.184 0.482
N 0.594 0.910 0.112
N 0.612 0.410 0.094
N 0.612 0.702 0.518
N 0.684 0.090 0.702
N 0.684 0.094 0.982
N 0.702 0.518 0.612
N 0.702 0.684 0.090
N 0.798 0.410 0.816
N 0.798 0.888 0.982
N 0.816 0.518 0.406
N 0.816 0.798 0.410
N 0.888 0.406 0.090
N 0.888 0.982 0.798
N 0.906 0.018 0.316
N 0.906 0.388 0.590
N 0.910 0.112 0.594
N 0.910 0.298 0.316
N 0.982 0.684 0.094
N 0.982 0.798 0.888
CELL_PARAMETERS angstrom
-5.989 5.989 5.989
5.989 -5.989 5.989
5.989 5.989 -5.989
! Total moment (μB/atom): 0.00
! Raw formation energy (kcal/mol of atoms): 0.5
! ρ (g/cm³): 7.5
! DOS at the Fermi energy (states/eV/f.u.): 11.6
! Total DFT energy (no corrections) (eV per cell): -593.5

---

[7]
! AlZnInSe4 | Alexandria | PBE-GGA | relaxed; values from VASP
&SYSTEM
  ibrav = 0, nat = 14, ntyp = 4
/
ATOMIC_SPECIES
Al 26.98 Al.upf
Zn 65.41 Zn.upf
In 114.82 In.upf
Se 78.96 Se.upf
ATOMIC_POSITIONS crystal
Al 0.000 0.000 0.000
Al 0.500 0.500 0.500
Zn 0.000 0.500 0.750
Zn 0.500 0.000 0.250
In 0.000 0.000 0.500
In 0.500 0.500 0.000
Se 0.221 0.247 0.134
Se 0.247 0.779 0.866
Se 0.253 0.721 0.366
Se 0.279 0.253 0.634
Se 0.721 0.747 0.634
Se 0.747 0.279 0.366
Se 0.753 0.221 0.866
Se 0.779 0.753 0.134
CELL_PARAMETERS angstrom
5.680 0.000 0.000
0.000 5.680 0.000
0.000 0.000 11.469
! Total moment (μB/atom): 0.00
! Raw formation energy (kcal/mol of atoms): -16.5
! ρ (g/cm³): 4.7
! Total DFT energy (no corrections) (eV per cell): -53.4

---

[8]
! Cs2CeEr2S6 | Alexandria | PBE-GGA | relaxed; values from VASP
&SYSTEM
  ibrav = 0, nat = 11, ntyp = 4
/
ATOMIC_SPECIES
Cs 132.91 Cs.upf
Ce 140.12 Ce.upf
Er 167.26 Er.upf
S 32.06 S.upf
ATOMIC_POSITIONS crystal
Cs 0.168 0.832 0.000
Cs 0.832 0.168 0.000
Ce 0.000 0.000 0.500
Er 0.334 0.666 0.500
Er 0.666 0.334 0.500
S 0.058 0.393 0.676
S 0.274 0.274 0.324
S 0.393 0.058 0.676
S 0.607 0.942 0.324
S 0.726 0.726 0.676
S 0.942 0.607 0.324
CELL_PARAMETERS angstrom
3.494 -6.058 0.000
3.494 6.058 0.000
-2.355 0.000 8.233
! Total moment (μB/atom): 0.00
! Raw formation energy (kcal/mol of atoms): -42.8
! ρ (g/cm³): 4.4
! Total DFT energy (no corrections) (eV per cell): -61.9